First-principles (PBE+U) data for crystalline NpTlFe2O8 at its relaxed geometry, as listed in Alexandria via LeMat-Bulk.

Cell: 5.769 5.769 7.633 Å, 90.00 90.00 120.00°
Last column: magnetic moment on the atom in μB.
Element x y z (fractional)
O: 0.667 0.333 0.487  -0.35
O: 0.681 0.840 0.840  0.03
O: 0.333 0.667 0.513  -0.35
O: 0.160 0.840 0.840  0.03
O: 0.840 0.160 0.160  0.03
O: 0.840 0.681 0.160  0.03
O: 0.319 0.160 0.160  0.03
O: 0.160 0.319 0.840  0.03
Tl: 0.000 0.000 0.500  -0.07
Fe: 0.333 0.667 0.748  4.07
Fe: 0.667 0.333 0.252  4.07
Np: 0.000 0.000 0.000  0.50

Space-group type   P-3m1
E_tot   -0.5061 Ry per atom